# 1
# Ba3LaCo (PBE, optimized geometry)
# Distance to the lowest polymorph of the same formula (eV per formula unit): 0.000
# Magnetization (Bohr magnetons per cell): 0.00
# Energy (eV/atom): -3.133
data_Ba3LaCo
_chemical_formula_sum 'Ba3 La1 Co1'
_cell_length_a 5.9931
_cell_length_b 5.9931
_cell_length_c 5.9931
_cell_angle_alpha 90.00
_cell_angle_beta 90.00
_cell_angle_gamma 90.00
_symmetry_space_group_name_H-M 'P 1'
_symmetry_Int_Tables_number 1
loop_
_symmetry_equiv_pos_as_xyz
'x,y,z'
loop_
_atom_site_label
_atom_site_fract_x
_atom_site_fract_y
_atom_site_fract_z
Co1 0.0000 0.0000 0.0000
Ba1 0.0000 0.5000 0.0000
Ba2 0.0000 0.0000 0.5000
Ba3 0.5000 0.0000 0.0000
La1 0.5000 0.5000 0.5000

---

# 2
# Ba2LaCo (PBE, optimized geometry)
# Distance to the lowest polymorph of the same formula (eV per formula unit): 0.199
# Magnetization (Bohr magnetons per cell): 0.00
# Energy (eV/atom): -3.804
data_Ba2LaCo
_chemical_formula_sum 'Ba2 La1 Co1'
_cell_length_a 7.1852
_cell_length_b 7.1852
_cell_length_c 7.1852
_cell_angle_alpha 148.51
_cell_angle_beta 125.56
_cell_angle_gamma 64.26
_symmetry_space_group_name_H-M 'P 1'
_symmetry_Int_Tables_number 1
loop_
_symmetry_equiv_pos_as_xyz
'x,y,z'
loop_
_atom_site_label
_atom_site_fract_x
_atom_site_fract_y
_atom_site_fract_z
Ba1 0.9903 0.9903 0.0000
Ba2 0.3205 0.8205 0.5000
Co1 0.5320 0.5320 0.0000
La1 0.6572 0.1572 0.5000

---

# 3
# Ba2LaCo (PBE, optimized geometry)
# Distance to the lowest polymorph of the same formula (eV per formula unit): 2.059
# Magnetization (Bohr magnetons per cell): 0.43
# Energy (eV/atom): -3.339
data_Ba2LaCo
_chemical_formula_sum 'Ba2 La1 Co1'
_cell_length_a 4.7924
_cell_length_b 4.7924
_cell_length_c 5.9919
_cell_angle_alpha 90.00
_cell_angle_beta 90.00
_cell_angle_gamma 90.00
_symmetry_space_group_name_H-M 'P 1'
_symmetry_Int_Tables_number 1
loop_
_symmetry_equiv_pos_as_xyz
'x,y,z'
loop_
_atom_site_label
_atom_site_fract_x
_atom_site_fract_y
_atom_site_fract_z
Ba1 0.0000 0.0000 0.0000
Ba2 0.5000 0.5000 0.0000
Co1 0.5000 0.0000 0.5000
La1 0.0000 0.5000 0.5000

---

# 4
# Ba2LaCo (PBE, optimized geometry)
# Distance to the lowest polymorph of the same formula (eV per formula unit): 0.799
# Magnetization (Bohr magnetons per cell): 0.00
# Energy (eV/atom): -3.654
data_Ba2LaCo
_chemical_formula_sum 'Ba4 La2 Co2'
_cell_length_a 12.0712
_cell_length_b 12.0712
_cell_length_c 8.8884
_cell_angle_alpha 47.23
_cell_angle_beta 47.23
_cell_angle_gamma 90.00
_symmetry_space_group_name_H-M 'P 1'
_symmetry_Int_Tables_number 1
loop_
_symmetry_equiv_pos_as_xyz
'x,y,z'
loop_
_atom_site_label
_atom_site_fract_x
_atom_site_fract_y
_atom_site_fract_z
Co1 0.5000 0.5000 0.0000
Co2 0.2500 0.7500 0.5000
Ba1 0.4679 0.1250 0.2500
Ba2 0.2821 0.6250 0.2500
Ba3 0.3750 0.5321 0.7500
Ba4 0.8750 0.7179 0.7500
La1 0.0000 0.0000 0.0000
La2 0.7500 0.2500 0.5000

---

| no. | formation energy from the elements (eV per atom) |
| --- | --- |
| 1 | 0.43 |
| 2 | 0.17 |
| 3 | 0.63 |
| 4 | 0.32 |